1.
## TlRhAu (PBE-GGA)

Data for an optimized crystal structure of TlRhAu.

Density of states at the Fermi level: 1.5 states/eV/cell
Energy relative to the lowest polymorph listed for this composition: 0.27 eV per formula unit

Unit cell a=5.905 b=5.905 c=5.905 alpha=148.51 beta=148.51 gamma=45.13
Element x y z (fractional)
Tl 0.322 0.322 0.000
Rh 0.668 0.668 0.000
Au 0.010 0.010 0.000

***

2.
## TlRhAu (PBE-GGA)

Data for an optimized crystal structure of TlRhAu.

Density of states at the Fermi level: 1.4 states/eV/cell
Energy relative to the lowest polymorph listed for this composition: 0.27 eV per formula unit

Unit cell a=5.102 b=5.102 c=5.102 alpha=143.87 beta=134.45 gamma=59.47
Element x y z (fractional)
Rh 0.669 0.669 0.000
Au 0.004 0.004 0.000
Tl 0.328 0.328 0.000

***

3.
## TlRhAu2 (PBE-GGA)

Data for an optimized crystal structure of TlRhAu2.

Density of states at the Fermi level: 2.5 states/eV/cell
Energy relative to the lowest polymorph listed for this composition: 0.70 eV per formula unit

Unit cell a=4.703 b=4.703 c=4.703 alpha=60.00 beta=60.00 gamma=60.00
Element x y z (fractional)
Rh 0.000 0.000 0.000
Au 0.750 0.750 0.750
Au 0.250 0.250 0.250
Tl 0.500 0.500 0.500

***

4.
## Tl4RhAu (PBE-GGA)

Data for an optimized crystal structure of Tl4RhAu.

Density of states at the Fermi level: 6.4 states/eV/cell
Energy relative to the lowest polymorph listed for this composition: 0.00 eV per formula unit

Unit cell a=5.923 b=7.600 c=7.600 alpha=115.87 beta=95.10 gamma=95.10
Element x y z (fractional)
Tl 0.907 0.626 0.770
Tl 0.035 0.929 0.281
Tl 0.465 0.719 0.071
Tl 0.535 0.281 0.929
Tl 0.093 0.374 0.230
Tl 0.593 0.230 0.374
Tl 0.965 0.071 0.719
Tl 0.407 0.770 0.626
Au 0.250 0.363 0.637
Au 0.750 0.637 0.363
Rh 0.750 0.998 0.002
Rh 0.250 0.002 0.998

***

5.
## Tl3RhAu (PBE-GGA)

Data for an optimized crystal structure of Tl3RhAu.

Density of states at the Fermi level: 2.1 states/eV/cell
Energy relative to the lowest polymorph listed for this composition: 0.00 eV per formula unit

Unit cell a=5.266 b=5.266 c=5.266 alpha=90.00 beta=90.00 gamma=90.00
Element x y z (fractional)
Rh 0.000 0.000 0.000
Tl 0.500 0.000 0.000
Tl 0.000 0.500 0.000
Tl 0.000 0.000 0.500
Au 0.500 0.500 0.500

***

6.
## Tl2Rh2Au (PBE-GGA)

Data for an optimized crystal structure of Tl2Rh2Au.

Density of states at the Fermi level: 5.5 states/eV/cell

Unit cell a=7.053 b=7.053 c=3.911 alpha=90.00 beta=90.00 gamma=90.00
Element x y z (fractional)
Rh 0.364 0.864 0.000
Rh 0.136 0.364 0.000
Rh 0.864 0.636 0.000
Rh 0.636 0.136 0.000
Tl 0.167 0.667 0.500
Tl 0.667 0.833 0.500
Tl 0.333 0.167 0.500
Tl 0.833 0.333 0.500
Au 0.500 0.500 0.000
Au 0.000 0.000 0.000

***

7.
## TlRhAu2 (PBE-GGA)

Data for an optimized crystal structure of TlRhAu2.

Density of states at the Fermi level: 2.3 states/eV/cell
Energy relative to the lowest polymorph listed for this composition: 0.73 eV per formula unit

Unit cell a=9.224 b=9.224 c=9.224 alpha=19.36 beta=19.36 gamma=19.36
Element x y z (fractional)
Tl 0.245 0.245 0.245
Rh 0.499 0.499 0.499
Au 0.753 0.753 0.753
Au 0.003 0.003 0.003

***

8.
## TlRhAu (PBE-GGA)

Data for an optimized crystal structure of TlRhAu.

Density of states at the Fermi level: 1.8 states/eV/cell
Energy relative to the lowest polymorph listed for this composition: 0.22 eV per formula unit

Unit cell a=4.501 b=4.501 c=4.501 alpha=60.00 beta=60.00 gamma=60.00
Element x y z (fractional)
Rh 0.250 0.250 0.250
Au 0.500 0.500 0.500
Tl 0.000 0.000 0.000

***

9.
## TlRhAu2 (PBE-GGA)

Data for an optimized crystal structure of TlRhAu2.

Density of states at the Fermi level: 3.0 states/eV/cell
Energy relative to the lowest polymorph listed for this composition: 0.64 eV per formula unit

Unit cell a=3.080 b=4.191 c=5.791 alpha=90.00 beta=90.00 gamma=90.00
Element x y z (fractional)
Rh 0.500 0.500 0.000
Au 0.000 0.000 0.235
Au 0.000 0.000 0.765
Tl 0.500 0.500 0.500

***

10.
## TlRhAu (PBE-GGA)

Data for an optimized crystal structure of TlRhAu.

Density of states at the Fermi level: 2.5 states/eV/cell
Energy relative to the lowest polymorph listed for this composition: 0.00 eV per formula unit

Unit cell a=3.161 b=4.582 c=7.863 alpha=90.00 beta=101.59 gamma=90.00
Element x y z (fractional)
Au 0.225 0.750 0.449
Au 0.775 0.250 0.551
Tl 0.090 0.250 0.181
Tl 0.910 0.750 0.819
Rh 0.433 0.250 0.865
Rh 0.567 0.750 0.135

***

11.
## TlRhAu3 (PBE-GGA)

Data for an optimized crystal structure of TlRhAu3.

Density of states at the Fermi level: 6.3 states/eV/cell

Unit cell a=5.102 b=5.102 c=5.102 alpha=90.00 beta=90.00 gamma=90.00
Element x y z (fractional)
Au 0.000 0.000 0.500
Au 0.500 0.000 0.000
Au 0.000 0.500 0.000
Rh 0.000 0.000 0.000
Tl 0.500 0.500 0.500

***

12.
## TmTlRhAu (PBE-GGA)

Data for an optimized crystal structure of TmTlRhAu.

Density of states at the Fermi level: 3.1 states/eV/cell

Unit cell a=4.839 b=4.839 c=4.839 alpha=60.00 beta=60.00 gamma=60.00
Element x y z (fractional)
Tm 0.250 0.250 0.250
Rh 0.500 0.500 0.500
Au 0.000 0.000 0.000
Tl 0.750 0.750 0.750

***

13.
## YTl2RhAu (PBE-GGA)

Data for an optimized crystal structure of YTl2RhAu.

Density of states at the Fermi level: 1.6 states/eV/cell

Unit cell a=5.207 b=5.179 c=5.207 alpha=90.00 beta=90.00 gamma=90.00
Element x y z (fractional)
Y 0.000 0.500 0.000
Au 0.500 0.500 0.500
Rh 0.000 0.000 0.000
Tl 0.000 0.000 0.500
Tl 0.500 0.000 0.000

***

14.
## YTlRhAu2 (PBE-GGA)

Data for an optimized crystal structure of YTlRhAu2.

Density of states at the Fermi level: 5.5 states/eV/cell

Unit cell a=5.110 b=4.974 c=5.110 alpha=90.00 beta=90.00 gamma=90.00
Element x y z (fractional)
Y 0.500 0.500 0.500
Rh 0.000 0.000 0.000
Au 0.500 0.000 0.000
Au 0.000 0.000 0.500
Tl 0.000 0.500 0.000

***

15.
## YTlRhAu (PBE-GGA)

Data for an optimized crystal structure of YTlRhAu.

Density of states at the Fermi level: 3.7 states/eV/cell

Unit cell a=4.884 b=4.884 c=4.884 alpha=60.00 beta=60.00 gamma=60.00
Element x y z (fractional)
Au 0.000 0.000 0.000
Tl 0.250 0.250 0.250
Y 0.750 0.750 0.750
Rh 0.500 0.500 0.500

***

Record-wise energy of formation from the pure elements values, in kcal/mol of atoms: 4.65 4.66 5.27 0.88 2.66 1.47 5.44 4.28 4.92 2.61 13.62 -10.24 -3.12 4.54 -9.82